# 1
# ScTcRu | the Alexandria database | PBE-GGA | relaxed
data_ScTcRu
_symmetry_space_group_name_H-M 'I m m 2'
_symmetry_Int_Tables_number 44
_cell_length_a 2.839
_cell_length_b 14.516
_cell_length_c 4.929
_cell_angle_alpha 90.00
_cell_angle_beta 90.00
_cell_angle_gamma 90.00
loop_
_symmetry_equiv_pos_as_xyz
'x,y,z'
'-x,-y,z'
'-x,y,z'
'x,-y,z'
'x+1/2,y+1/2,z+1/2'
'-x+1/2,-y+1/2,z+1/2'
'-x+1/2,y+1/2,z+1/2'
'x+1/2,-y+1/2,z+1/2'
loop_
_atom_site_label
_atom_site_type_symbol
_atom_site_fract_x
_atom_site_fract_y
_atom_site_fract_z
_atom_site_occupancy
Sc1 Sc 0.000 0.181 0.000 1
Tc1 Tc 0.000 0.370 0.991 1
Ru1 Ru 0.000 0.000 0.720 1
Ru2 Ru 0.000 0.500 0.656 1
# - Crystal system: orthorhombic
# - Energy relative to the lowest polymorph listed for this composition: 33.75 kJ/mol of atoms
# - Calculated formation energy: 79 meV/atom
# - D(E_F): 14.41 states/eV per cell

# 2
# MgScMo2 | the Alexandria database | PBE-GGA | relaxed
data_MgScMo2
_symmetry_space_group_name_H-M 'P 4/m m m'
_symmetry_Int_Tables_number 123
_symmetry_space_group_name_Hall '-P 4 2'
_cell_length_a 3.587
_cell_length_b 3.587
_cell_length_c 5.822
_cell_angle_alpha 90.00
_cell_angle_beta 90.00
_cell_angle_gamma 90.00
loop_
_atom_site_label
_atom_site_type_symbol
_atom_site_fract_x
_atom_site_fract_y
_atom_site_fract_z
_atom_site_occupancy
Mg1 Mg 0.000 0.000 0.000 1
Sc1 Sc 0.000 0.000 0.500 1
Mo1 Mo 0.500 0.500 0.291 1
# - Crystal system: tetragonal
# - Calculated formation energy: 422 meV/atom
# - D(E_F): 3.49 states/eV per cell

# 3
# Sm3DyTm8 | the Alexandria database | PBE-GGA | relaxed
data_Sm3DyTm8
_symmetry_space_group_name_H-M 'C 1 m 1'
_symmetry_Int_Tables_number 8
_cell_length_a 12.484
_cell_length_b 11.190
_cell_length_c 6.236
_cell_angle_alpha 90.00
_cell_angle_beta 119.96
_cell_angle_gamma 90.00
loop_
_symmetry_equiv_pos_as_xyz
'x,y,z'
'x,-y,z'
'x+1/2,y+1/2,z'
'x+1/2,-y+1/2,z'
loop_
_atom_site_label
_atom_site_type_symbol
_atom_site_fract_x
_atom_site_fract_y
_atom_site_fract_z
_atom_site_occupancy
Sm1 Sm 0.000 0.000 0.000 1
Sm2 Sm 0.332 0.248 0.665 1
Dy1 Dy 0.164 0.500 0.664 1
Tm1 Tm 0.000 0.500 0.001 1
Tm2 Tm 0.165 0.000 0.667 1
Tm3 Tm 0.166 0.251 0.999 1
Tm4 Tm 0.332 0.500 0.330 1
Tm5 Tm 0.333 0.000 0.330 1
Tm6 Tm 0.499 0.250 0.333 1
# - Crystal system: monoclinic
# - Calculated formation energy: 5 meV/atom
# - D(E_F): 39.25 states/eV per cell

# 4
# Li2Nd2I7 | the Alexandria database | PBE-GGA | relaxed
data_Li2Nd2I7
_symmetry_space_group_name_H-M 'C 1 2/m 1'
_symmetry_Int_Tables_number 12
_cell_length_a 9.534
_cell_length_b 14.478
_cell_length_c 7.913
_cell_angle_alpha 90.00
_cell_angle_beta 92.46
_cell_angle_gamma 90.00
loop_
_symmetry_equiv_pos_as_xyz
'x,y,z'
'-x,-y,-z'
'-x,y,-z'
'x,-y,z'
'x+1/2,y+1/2,z'
'-x+1/2,-y+1/2,-z'
'-x+1/2,y+1/2,-z'
'x+1/2,-y+1/2,z'
loop_
_atom_site_label
_atom_site_type_symbol
_atom_site_fract_x
_atom_site_fract_y
_atom_site_fract_z
_atom_site_occupancy
Li1 Li 0.000 0.148 0.000 1
Nd1 Nd 0.180 0.000 0.397 1
I1 I 0.000 0.500 0.500 1
I2 I 0.130 0.000 0.788 1
I3 I 0.204 0.191 0.237 1
# - Final energy: -3.387 eV per atom
# - Crystal system: monoclinic
# - D(E_F): 0.28 states/eV per cell